1.
Density functional theory data (PBE-GGA) for TaAsRh2 after structural relaxation.

Summary:
Energy, eV for the cell shown: -32.9
Symmetry: Immm
Formation energy, eV per formula unit: -1.65

Structure (POSCAR):
```
TaAsRh2
1.0
4.933 0.001 -0.002
1.874 4.564 0.002
-3.156 -2.651 2.711
As Rh Ta
1 2 1
Direct
0.250 0.750 0.500
0.015 0.015 0.000
0.485 0.485 0.000
0.750 0.250 0.500
```

=====

2.
Density functional theory data (PBE-GGA) for CuIr2PtC after structural relaxation.

Summary:
Energy, eV for the cell shown: -22.6
Symmetry: P4/mmm
Formation energy, eV per formula unit: 14.48

Structure (POSCAR):
```
CuIr2PtC
1.0
-1.451 2.947 -3.464
-4.248 0.086 1.853
1.242 3.754 2.673
C Ir Cu Pt
1 2 1 1
Direct
0.500 0.500 0.500
0.000 0.000 0.500
0.500 0.000 0.000
0.000 0.500 0.000
0.000 0.000 0.000
```

=====

3.
Density functional theory data (PBE-GGA) for BRhCl2 after structural relaxation.

Summary:
Energy, eV for the cell shown: -27.2
Distance to the lowest polymorph of the same formula, eV per atom: 0.2208
Symmetry: I-42d
Uncorrected formation energy, eV/atom: 1.04

Structure (POSCAR):
```
BRhCl2
1.0
-0.177 -0.998 -5.218
-0.858 -5.147 1.014
-5.083 -2.310 -2.094
B Rh Cl
2 2 4
Direct
0.500 0.500 0.000
0.250 0.750 0.500
0.000 0.000 0.000
0.750 0.250 0.500
0.561 0.125 0.250
0.189 0.625 0.250
0.375 0.439 0.750
0.875 0.811 0.750
```

=====

4.
Density functional theory data (PBE-GGA) for Mo4OsSe after structural relaxation.

Summary:
Energy, eV for the cell shown: -53.6
Symmetry: F-43m
Uncorrected formation energy, eV/atom: 0.74

Structure (POSCAR):
```
Mo4OsSe
1.0
0.000 3.682 3.682
3.682 0.000 3.682
3.682 3.682 0.000
Mo Os Se
4 1 1
Direct
0.878 0.374 0.374
0.374 0.374 0.878
0.374 0.878 0.374
0.374 0.374 0.374
0.750 0.750 0.750
0.000 0.000 0.000
```

=====

5.
Density functional theory data (PBE-GGA) for ErMnGe2Rh after structural relaxation.

Summary:
Energy, eV for the cell shown: -33.6
Symmetry: I-4m2
Formation energy, eV per formula unit: -3.28

Structure (POSCAR):
```
ErMnGe2Rh
1.0
4.042 0.000 0.000
0.000 4.042 0.000
-2.021 -2.021 5.312
Er Mn Ge Rh
1 1 2 1
Direct
0.000 0.000 0.000
0.750 0.250 0.500
0.616 0.616 0.232
0.384 0.384 0.768
0.250 0.750 0.500
```

=====

6.
Density functional theory data (PBE-GGA) for AcInCu4 after structural relaxation.

Summary:
Energy, eV for the cell shown: -24.0
Symmetry: F-43m
Formation energy, eV per formula unit: -0.79

Structure (POSCAR):
```
AcInCu4
1.0
-1.646 -2.027 4.676
-1.252 -5.193 0.375
3.175 -3.329 2.741
Ac Cu In
1 4 1
Direct
0.250 0.250 0.250
0.627 0.627 0.119
0.627 0.119 0.627
0.627 0.627 0.627
0.119 0.627 0.627
0.000 0.000 0.000
```

=====

Which value of energy does entry 5 give?
-33.6 eV for the cell shown

=====

Look up the energy of the first one.
-32.9 eV for the cell shown

=====

The highest energy belongs to which entry?
CuIr2PtC

=====

Which formula does entry 3 have?
BRhCl2